Record 1
# GGA-PBE Nd2HoNi, relaxed
data_Nd2HoNi
_chemical_formula_sum 'Nd8 Ho4 Ni4'
_symmetry_space_group_name_H-M 'P n m a'
_symmetry_Int_Tables_number 62
_cell_length_a 6.974
_cell_length_b 9.969
_cell_length_c 6.386
_cell_angle_alpha 90.00
_cell_angle_beta 90.00
_cell_angle_gamma 90.00
loop_
_symmetry_equiv_pos_as_xyz
'x,y,z'
'-x,-y,-z'
'-x+1/2,-y,z+1/2'
'x+1/2,y,-z+1/2'
'x+1/2,-y+1/2,-z+1/2'
'-x+1/2,y+1/2,z+1/2'
'-x,y+1/2,-z'
'x,-y+1/2,z'
loop_
_atom_site_label
_atom_site_fract_x
_atom_site_fract_y
_atom_site_fract_z
Nd1 0.180 0.067 0.176
Ho1 0.037 0.250 0.652
Ni1 0.114 0.750 0.947
# * ΔH_f (0 K): -0.192 eV/atom
# * E above lowest polymorph: 0.000 eV per atom

=====

Record 2
# GGA-PBE NdHo2Ni6, relaxed
data_NdHo2Ni6
_chemical_formula_sum 'Nd1 Ho2 Ni6'
_symmetry_space_group_name_H-M 'P 6/m m m'
_symmetry_Int_Tables_number 191
_symmetry_space_group_name_Hall '-P 6 2'
_cell_length_a 6.9704
_cell_length_b 6.9704
_cell_length_c 3.7434
_cell_angle_alpha 90.00
_cell_angle_beta 90.00
_cell_angle_gamma 120.00
loop_
_atom_site_label
_atom_site_fract_x
_atom_site_fract_y
_atom_site_fract_z
Nd1 0.0000 0.0000 0.0000
Ho1 0.3333 0.6667 0.0000
Ni1 0.0000 0.3356 0.5000
# * ΔH_f (0 K): -0.367 eV/atom

=====

Record 3
# GGA-PBE Nd2HoNi, relaxed
data_Nd2HoNi
_chemical_formula_sum 'Nd2 Ho1 Ni1'
_symmetry_space_group_name_H-M 'P 4/m m m'
_symmetry_Int_Tables_number 123
_symmetry_space_group_name_Hall '-P 4 2'
_cell_length_a 3.568
_cell_length_b 3.568
_cell_length_c 8.670
_cell_angle_alpha 90.00
_cell_angle_beta 90.00
_cell_angle_gamma 90.00
loop_
_atom_site_label
_atom_site_fract_x
_atom_site_fract_y
_atom_site_fract_z
Nd1 0.000 0.000 0.193
Ho1 0.500 0.500 0.500
Ni1 0.500 0.500 0.000
# * ΔH_f (0 K): -0.055 eV/atom
# * E above lowest polymorph: 0.137 eV per atom

=====

Record 4
# GGA-PBE NdHo2Ni9, relaxed
data_NdHo2Ni9
_chemical_formula_sum 'Nd3 Ho6 Ni27'
_symmetry_space_group_name_H-M 'R -3 m'
_symmetry_Int_Tables_number 166
_symmetry_space_group_name_Hall '-R 3 2"'
_cell_length_a 4.9946
_cell_length_b 4.9946
_cell_length_c 24.3030
_cell_angle_alpha 90.00
_cell_angle_beta 90.00
_cell_angle_gamma 120.00
loop_
_atom_site_label
_atom_site_fract_x
_atom_site_fract_y
_atom_site_fract_z
Nd1 0.0000 0.0000 0.0000
Ho1 0.0000 0.0000 0.1398
Ni1 0.0000 0.0000 0.3330
Ni2 0.0000 0.0000 0.5000
Ni3 0.0013 0.5006 0.9168
# * ΔH_f (0 K): -0.396 eV/atom

=====

Record 5
# GGA-PBE Nd2Ho5Ni2, relaxed
data_Nd2Ho5Ni2
_chemical_formula_sum 'Nd8 Ho20 Ni8'
_symmetry_space_group_name_H-M 'C m c e'
_symmetry_Int_Tables_number 64
_symmetry_space_group_name_Hall '-C 2ac 2'
_cell_length_a 20.157
_cell_length_b 6.992
_cell_length_c 6.970
_cell_angle_alpha 90.00
_cell_angle_beta 90.00
_cell_angle_gamma 90.00
loop_
_atom_site_label
_atom_site_fract_x
_atom_site_fract_y
_atom_site_fract_z
Nd1 0.231 0.000 0.000
Ho1 0.000 0.000 0.000
Ho2 0.106 0.176 0.327
Ni1 0.000 0.122 0.621
# * ΔH_f (0 K): -0.154 eV/atom

=====

Record 6
# GGA-PBE NdHo2Ni, relaxed
data_NdHo2Ni
_chemical_formula_sum 'Nd3 Ho6 Ni3'
_symmetry_space_group_name_H-M 'R -3 m'
_symmetry_Int_Tables_number 166
_symmetry_space_group_name_Hall '-R 3 2"'
_cell_length_a 3.7325
_cell_length_b 3.7325
_cell_length_c 27.9391
_cell_angle_alpha 90.00
_cell_angle_beta 90.00
_cell_angle_gamma 120.00
loop_
_atom_site_label
_atom_site_fract_x
_atom_site_fract_y
_atom_site_fract_z
Nd1 0.0000 0.0000 0.0000
Ho1 0.0000 0.0000 0.2248
Ni1 0.0000 0.0000 0.5000
# * ΔH_f (0 K): -0.101 eV/atom
# * E above lowest polymorph: 0.097 eV per atom

=====

Record 7
# GGA-PBE NdHo2Ni, relaxed
data_NdHo2Ni
_chemical_formula_sum 'Nd1 Ho2 Ni1'
_symmetry_space_group_name_H-M 'P 4/m m m'
_symmetry_Int_Tables_number 123
_symmetry_space_group_name_Hall '-P 4 2'
_cell_length_a 3.436
_cell_length_b 3.436
_cell_length_c 8.814
_cell_angle_alpha 90.00
_cell_angle_beta 90.00
_cell_angle_gamma 90.00
loop_
_atom_site_label
_atom_site_fract_x
_atom_site_fract_y
_atom_site_fract_z
Nd1 0.000 0.000 0.000
Ho1 0.500 0.500 0.319
Ni1 0.000 0.000 0.500
# * ΔH_f (0 K): -0.189 eV/atom
# * E above lowest polymorph: 0.009 eV per atom

=====

Record 8
# GGA-PBE NdHo2Ni, relaxed
data_NdHo2Ni
_chemical_formula_sum 'Nd4 Ho8 Ni4'
_symmetry_space_group_name_H-M 'C m c m'
_symmetry_Int_Tables_number 63
_symmetry_space_group_name_Hall '-C 2c 2'
_cell_length_a 4.815
_cell_length_b 11.900
_cell_length_c 7.317
_cell_angle_alpha 90.00
_cell_angle_beta 90.00
_cell_angle_gamma 90.00
loop_
_atom_site_label
_atom_site_fract_x
_atom_site_fract_y
_atom_site_fract_z
Nd1 0.000 0.038 0.250
Ho1 0.000 0.346 0.030
Ni1 0.000 0.195 0.750
# * ΔH_f (0 K): -0.198 eV/atom
# * E above lowest polymorph: 0.000 eV per atom

=====

Record 9
# GGA-PBE NdHo3Ni8, relaxed
data_NdHo3Ni8
_chemical_formula_sum 'Nd3 Ho9 Ni24'
_symmetry_space_group_name_H-M 'R 3 m'
_symmetry_Int_Tables_number 160
_symmetry_space_group_name_Hall 'R 3 -2"'
_cell_length_a 5.0760
_cell_length_b 5.0760
_cell_length_c 24.9491
_cell_angle_alpha 90.00
_cell_angle_beta 90.00
_cell_angle_gamma 120.00
loop_
_atom_site_label
_atom_site_fract_x
_atom_site_fract_y
_atom_site_fract_z
Nd1 0.0000 0.0000 0.0000
Ho1 0.0000 0.0000 0.1254
Ho2 0.0000 0.0000 0.4996
Ho3 0.0000 0.0000 0.6239
Ni1 0.0000 0.0000 0.3119
Ni2 0.0000 0.0000 0.8124
Ni3 0.0005 0.5002 0.0636
Ni4 0.1681 0.3361 0.8945
# * ΔH_f (0 K): -0.425 eV/atom

=====

Record 10
# GGA-PBE Nd2Ho5Ni4, relaxed
data_Nd2Ho5Ni4
_chemical_formula_sum 'Nd4 Ho10 Ni8'
_symmetry_space_group_name_H-M 'C 1 2/m 1'
_symmetry_Int_Tables_number 12
_cell_length_a 23.272
_cell_length_b 3.579
_cell_length_c 6.835
_cell_angle_alpha 90.00
_cell_angle_beta 106.79
_cell_angle_gamma 90.00
loop_
_symmetry_equiv_pos_as_xyz
'x,y,z'
'-x,-y,-z'
'-x,y,-z'
'x,-y,z'
'x+1/2,y+1/2,z'
'-x+1/2,-y+1/2,-z'
'-x+1/2,y+1/2,-z'
'x+1/2,-y+1/2,z'
loop_
_atom_site_label
_atom_site_fract_x
_atom_site_fract_y
_atom_site_fract_z
Nd1 0.238 0.000 0.229
Ho1 0.000 0.000 0.500
Ho2 0.117 0.500 0.875
Ho3 0.118 0.500 0.356
Ni1 0.000 0.500 0.179
Ni2 0.057 0.000 0.058
# * ΔH_f (0 K): -0.142 eV/atom

=====

Record 11
# GGA-PBE Nd3HoNi8, relaxed
data_Nd3HoNi8
_chemical_formula_sum 'Nd9 Ho3 Ni24'
_symmetry_space_group_name_H-M 'R 3 m'
_symmetry_Int_Tables_number 160
_symmetry_space_group_name_Hall 'R 3 -2"'
_cell_length_a 5.1399
_cell_length_b 5.1399
_cell_length_c 25.2484
_cell_angle_alpha 90.00
_cell_angle_beta 90.00
_cell_angle_gamma 120.00
loop_
_atom_site_label
_atom_site_fract_x
_atom_site_fract_y
_atom_site_fract_z
Nd1 0.0000 0.0000 0.0000
Nd2 0.0000 0.0000 0.1253
Nd3 0.0000 0.0000 0.5011
Ho1 0.0000 0.0000 0.6256
Ni1 0.0000 0.0000 0.3126
Ni2 0.0000 0.0000 0.8130
Ni3 0.0002 0.5001 0.5643
Ni4 0.1680 0.3359 0.3952
# * ΔH_f (0 K): -0.347 eV/atom

=====

Record 12
# GGA-PBE NdHoNiOs, relaxed
data_NdHoNiOs
_chemical_formula_sum 'Nd4 Ho4 Ni4 Os4'
_symmetry_space_group_name_H-M 'F -4 3 m'
_symmetry_Int_Tables_number 216
_symmetry_space_group_name_Hall 'F -4 2 3'
_cell_length_a 6.896
_cell_length_b 6.896
_cell_length_c 6.896
_cell_angle_alpha 90.00
_cell_angle_beta 90.00
_cell_angle_gamma 90.00
loop_
_atom_site_label
_atom_site_fract_x
_atom_site_fract_y
_atom_site_fract_z
Nd1 0.000 0.000 0.000
Ho1 0.000 0.000 0.500
Ni1 0.250 0.250 0.750
Os1 0.250 0.250 0.250
# * ΔH_f (0 K): -0.175 eV/atom

=====

Record 13
# GGA-PBE NdHoNiPd, relaxed
data_NdHoNiPd
_chemical_formula_sum 'Nd4 Ho4 Ni4 Pd4'
_symmetry_space_group_name_H-M 'F -4 3 m'
_symmetry_Int_Tables_number 216
_symmetry_space_group_name_Hall 'F -4 2 3'
_cell_length_a 7.013
_cell_length_b 7.013
_cell_length_c 7.013
_cell_angle_alpha 90.00
_cell_angle_beta 90.00
_cell_angle_gamma 90.00
loop_
_atom_site_label
_atom_site_fract_x
_atom_site_fract_y
_atom_site_fract_z
Nd1 0.000 0.000 0.000
Ho1 0.000 0.000 0.500
Ni1 0.250 0.250 0.750
Pd1 0.250 0.250 0.250
# * ΔH_f (0 K): -0.541 eV/atom
# * E above lowest polymorph: 0.066 eV per atom

=====

Record 14
# GGA-PBE NdHoNiPd, relaxed
data_NdHoNiPd
_chemical_formula_sum 'Nd2 Ho2 Ni2 Pd2'
_symmetry_space_group_name_H-M 'A m m 2'
_symmetry_Int_Tables_number 38
_cell_length_a 4.479
_cell_length_b 3.828
_cell_length_c 10.378
_cell_angle_alpha 90.00
_cell_angle_beta 90.00
_cell_angle_gamma 90.00
loop_
_symmetry_equiv_pos_as_xyz
'x,y,z'
'-x,-y,z'
'-x,y,z'
'x,-y,z'
'x,y+1/2,z+1/2'
'-x,-y+1/2,z+1/2'
'-x,y+1/2,z+1/2'
'x,-y+1/2,z+1/2'
loop_
_atom_site_label
_atom_site_fract_x
_atom_site_fract_y
_atom_site_fract_z
Nd1 0.000 0.000 0.000
Ho1 0.500 0.000 0.722
Ni1 0.000 0.000 0.276
Pd1 0.500 0.000 0.434
# * ΔH_f (0 K): -0.607 eV/atom
# * E above lowest polymorph: 0.000 eV per atom

=====

Record 15
# GGA-PBE NdHoNiRh, relaxed
data_NdHoNiRh
_chemical_formula_sum 'Nd2 Ho2 Ni2 Rh2'
_symmetry_space_group_name_H-M 'A m m 2'
_symmetry_Int_Tables_number 38
_cell_length_a 4.120
_cell_length_b 3.881
_cell_length_c 10.794
_cell_angle_alpha 90.00
_cell_angle_beta 90.00
_cell_angle_gamma 90.00
loop_
_symmetry_equiv_pos_as_xyz
'x,y,z'
'-x,-y,z'
'-x,y,z'
'x,-y,z'
'x,y+1/2,z+1/2'
'-x,-y+1/2,z+1/2'
'-x,y+1/2,z+1/2'
'x,-y+1/2,z+1/2'
loop_
_atom_site_label
_atom_site_fract_x
_atom_site_fract_y
_atom_site_fract_z
Nd1 0.000 0.000 0.000
Ho1 0.500 0.000 0.281
Ni1 0.500 0.000 0.569
Rh1 0.000 0.000 0.725
# * ΔH_f (0 K): -0.588 eV/atom
# * E above lowest polymorph: 0.000 eV per atom

=====

Record 16
# GGA-PBE NdHoNiRh, relaxed
data_NdHoNiRh
_chemical_formula_sum 'Nd4 Ho4 Ni4 Rh4'
_symmetry_space_group_name_H-M 'F -4 3 m'
_symmetry_Int_Tables_number 216
_symmetry_space_group_name_Hall 'F -4 2 3'
_cell_length_a 6.926
_cell_length_b 6.926
_cell_length_c 6.926
_cell_angle_alpha 90.00
_cell_angle_beta 90.00
_cell_angle_gamma 90.00
loop_
_atom_site_label
_atom_site_fract_x
_atom_site_fract_y
_atom_site_fract_z
Nd1 0.000 0.000 0.000
Ho1 0.000 0.000 0.500
Ni1 0.250 0.250 0.250
Rh1 0.250 0.250 0.750
# * ΔH_f (0 K): -0.529 eV/atom
# * E above lowest polymorph: 0.058 eV per atom

=====

Record 17
# GGA-PBE NdHoNiRu, relaxed
data_NdHoNiRu
_chemical_formula_sum 'Nd4 Ho4 Ni4 Ru4'
_symmetry_space_group_name_H-M 'F -4 3 m'
_symmetry_Int_Tables_number 216
_symmetry_space_group_name_Hall 'F -4 2 3'
_cell_length_a 6.888
_cell_length_b 6.888
_cell_length_c 6.888
_cell_angle_alpha 90.00
_cell_angle_beta 90.00
_cell_angle_gamma 90.00
loop_
_atom_site_label
_atom_site_fract_x
_atom_site_fract_y
_atom_site_fract_z
Nd1 0.000 0.000 0.000
Ho1 0.000 0.000 0.500
Ni1 0.250 0.250 0.750
Ru1 0.250 0.250 0.250
# * ΔH_f (0 K): -0.281 eV/atom
# * E above lowest polymorph: 0.023 eV per atom

=====

Record 18
# GGA-PBE NdHoNiRu, relaxed
data_NdHoNiRu
_chemical_formula_sum 'Nd2 Ho2 Ni2 Ru2'
_symmetry_space_group_name_H-M 'A m m 2'
_symmetry_Int_Tables_number 38
_cell_length_a 4.033
_cell_length_b 4.011
_cell_length_c 10.706
_cell_angle_alpha 90.00
_cell_angle_beta 90.00
_cell_angle_gamma 90.00
loop_
_symmetry_equiv_pos_as_xyz
'x,y,z'
'-x,-y,z'
'-x,y,z'
'x,-y,z'
'x,y+1/2,z+1/2'
'-x,-y+1/2,z+1/2'
'-x,y+1/2,z+1/2'
'x,-y+1/2,z+1/2'
loop_
_atom_site_label
_atom_site_fract_x
_atom_site_fract_y
_atom_site_fract_z
Nd1 0.000 0.000 0.000
Ho1 0.500 0.000 0.286
Ni1 0.500 0.000 0.580
Ru1 0.000 0.000 0.719
# * ΔH_f (0 K): -0.304 eV/atom
# * E above lowest polymorph: 0.000 eV per atom

=====

Record 19
# GGA-PBE NdHoSi2Ni2, relaxed
data_NdHoSi2Ni2
_chemical_formula_sum 'Nd1 Ho1 Si2 Ni2'
_symmetry_space_group_name_H-M 'P -3 m 1'
_symmetry_Int_Tables_number 164
_symmetry_space_group_name_Hall '-P 3 2"'
_cell_length_a 3.9920
_cell_length_b 3.9920
_cell_length_c 8.1848
_cell_angle_alpha 90.00
_cell_angle_beta 90.00
_cell_angle_gamma 120.00
loop_
_atom_site_label
_atom_site_fract_x
_atom_site_fract_y
_atom_site_fract_z
Nd1 0.0000 0.0000 0.0000
Ho1 0.0000 0.0000 0.5000
Si1 0.3333 0.6667 0.2589
Ni1 0.3333 0.6667 0.7365
# * uncorrected formation energy: -4.53 eV/f.u.

=====

Record 20
# GGA-PBE NdHoNpO6, relaxed
data_NdHoNpO6
_chemical_formula_sum 'Nd2 Ho2 Np2 O12'
_symmetry_space_group_name_H-M 'P -3 1 c'
_symmetry_Int_Tables_number 163
_symmetry_space_group_name_Hall '-P 3 2c'
_cell_length_a 5.7646
_cell_length_b 5.7646
_cell_length_c 9.7905
_cell_angle_alpha 90.00
_cell_angle_beta 90.00
_cell_angle_gamma 120.00
loop_
_atom_site_label
_atom_site_fract_x
_atom_site_fract_y
_atom_site_fract_z
Nd1 0.0000 0.0000 0.0000
Ho1 0.3333 0.6667 0.2500
Np1 0.3333 0.6667 0.7500
O1 0.0239 0.3638 0.6373
# * uncorrected formation energy: -28.75 eV/f.u.

=====

Record 21
# GGA-PBE Nd2HoNpO8, relaxed
data_Nd2HoNpO8
_chemical_formula_sum 'Nd2 Ho1 Np1 O8'
_symmetry_space_group_name_H-M 'P 1 2/m 1'
_symmetry_Int_Tables_number 10
_cell_length_a 3.929
_cell_length_b 7.563
_cell_length_c 5.543
_cell_angle_alpha 90.00
_cell_angle_beta 94.49
_cell_angle_gamma 90.00
loop_
_symmetry_equiv_pos_as_xyz
'x,y,z'
'-x,-y,-z'
'-x,y,-z'
'x,-y,z'
loop_
_atom_site_label
_atom_site_fract_x
_atom_site_fract_y
_atom_site_fract_z
Nd1 0.000 0.242 0.000
Ho1 0.500 0.000 0.500
Np1 0.500 0.500 0.500
O1 0.008 0.000 0.256
O2 0.054 0.500 0.284
O3 0.467 0.278 0.728
# * uncorrected formation energy: -37.53 eV/f.u.

=====

Record 22
# GGA-PBE NdHo2NpO8, relaxed
data_NdHo2NpO8
_chemical_formula_sum 'Nd1 Ho2 Np1 O8'
_symmetry_space_group_name_H-M 'P 1 2/m 1'
_symmetry_Int_Tables_number 10
_cell_length_a 3.910
_cell_length_b 7.478
_cell_length_c 5.402
_cell_angle_alpha 90.00
_cell_angle_beta 93.69
_cell_angle_gamma 90.00
loop_
_symmetry_equiv_pos_as_xyz
'x,y,z'
'-x,-y,-z'
'-x,y,-z'
'x,-y,z'
loop_
_atom_site_label
_atom_site_fract_x
_atom_site_fract_y
_atom_site_fract_z
Nd1 0.000 0.000 0.000
Ho1 0.500 0.243 0.500
Np1 0.000 0.500 0.000
O1 0.025 0.282 0.759
O2 0.460 0.500 0.225
O3 0.492 0.000 0.739
# * uncorrected formation energy: -38.09 eV/f.u.

=====

Record 23
# GGA-PBE Nd2HoNpP4, relaxed
data_Nd2HoNpP4
_chemical_formula_sum 'Nd2 Ho1 Np1 P4'
_symmetry_space_group_name_H-M 'P 1 2/m 1'
_symmetry_Int_Tables_number 10
_cell_length_a 7.027
_cell_length_b 4.060
_cell_length_c 7.049
_cell_angle_alpha 90.00
_cell_angle_beta 109.29
_cell_angle_gamma 90.00
loop_
_symmetry_equiv_pos_as_xyz
'x,y,z'
'-x,-y,-z'
'-x,y,-z'
'x,-y,z'
loop_
_atom_site_label
_atom_site_fract_x
_atom_site_fract_y
_atom_site_fract_z
Nd1 0.000 0.000 0.000
Nd2 0.500 0.500 0.000
Ho1 0.000 0.500 0.500
Np1 0.500 0.000 0.500
P1 0.249 0.000 0.736
P2 0.258 0.500 0.266
# * ΔH_f (0 K): -1.378 eV/atom

=====

Record 24
# GGA-PBE NdHo2NpP4, relaxed
data_NdHo2NpP4
_chemical_formula_sum 'Nd1 Ho2 Np1 P4'
_symmetry_space_group_name_H-M 'P 1 2/m 1'
_symmetry_Int_Tables_number 10
_cell_length_a 6.957
_cell_length_b 4.017
_cell_length_c 6.976
_cell_angle_alpha 90.00
_cell_angle_beta 109.35
_cell_angle_gamma 90.00
loop_
_symmetry_equiv_pos_as_xyz
'x,y,z'
'-x,-y,-z'
'-x,y,-z'
'x,-y,z'
loop_
_atom_site_label
_atom_site_fract_x
_atom_site_fract_y
_atom_site_fract_z
Nd1 0.000 0.000 0.000
Ho1 0.500 0.000 0.500
Ho2 0.500 0.500 0.000
Np1 0.000 0.500 0.500
P1 0.251 0.000 0.743
P2 0.255 0.500 0.261
# * ΔH_f (0 K): -1.390 eV/atom

=====

no.,calculated density (Mg/m³)
1,7.66
2,8.71
3,7.70
4,9.51
5,8.32
6,7.87
7,8.50
8,8.44
9,9.92
10,8.21
11,9.20
12,11.30
13,9.13
14,8.85
15,9.06
16,9.41
17,9.53
18,8.99
19,7.10
20,7.57
21,8.27
22,8.84
23,7.13
24,7.54